An optimized crystal structure of Pr4U2Ru5. Source: Alexandria, functional PBE.

abc: 10.764 10.764 10.764
angles: 146.19 131.38 60.53
Each line ends with the local moment (μB).
Fractional coordinates of all 22 atoms:
Pr: 0.800 0.053 0.747  0.01
Pr: 0.743 0.862 0.881  0.02
Pr: 0.019 0.638 0.381  0.02
Ru: 0.468 0.906 0.562  -0.09
Pr: 0.257 0.138 0.119  0.02
Ru: 0.344 0.406 0.938  -0.09
Ru: 0.063 0.225 0.838  -0.09
Pr: 0.694 0.447 0.247  0.01
Ru: 0.000 0.250 0.250  -0.02
Pr: 0.200 0.947 0.253  0.01
Pr: 0.306 0.553 0.753  0.01
U: 0.698 0.448 0.750  0.74
Ru: 0.388 0.725 0.662  -0.09
Ru: 0.937 0.775 0.162  -0.09
Ru: 0.532 0.094 0.438  -0.09
Pr: 0.981 0.362 0.619  0.02
U: 0.302 0.552 0.250  0.74
Ru: 0.612 0.275 0.338  -0.09
Ru: 0.656 0.594 0.062  -0.09
U: 0.698 0.948 0.250  0.74
Ru: 0.000 0.750 0.750  -0.02
U: 0.302 0.052 0.750  0.74

Values from the calculation:
mass density: 9.951 Mg/m³
V: 23.439 A^3/atom
energy of formation: -0.142 eV/atom
magnetization: 0.12 μB/atom
space group: No. 72